# 1
# Ho5Tl2Ga

Crystalline Ho5Tl2Ga at its relaxed geometry (GGA-PBE, Alexandria).

abc: 6.8437 12.7546 4.9935
angles: 90.00 90.00 90.00
Atoms (fractional coordinates):
Ho (0.0000, 0.0000, 0.0000)
Ho (0.1377, 0.2794, 0.0000)
Ho (0.1659, 0.5934, 0.5000)
Ho (0.3341, 0.0934, 0.5000)
Ho (0.3623, 0.7794, 0.0000)
Ho (0.5000, 0.5000, 0.0000)
Ho (0.6377, 0.2206, 0.0000)
Ho (0.6659, 0.9066, 0.5000)
Ho (0.8341, 0.4066, 0.5000)
Ho (0.8623, 0.7206, 0.0000)
Tl (0.1111, 0.8438, 0.5000)
Tl (0.3889, 0.3438, 0.5000)
Tl (0.6111, 0.6562, 0.5000)
Tl (0.8889, 0.1562, 0.5000)
Ga (0.0000, 0.5000, 0.0000)
Ga (0.5000, 0.0000, 0.0000)

Values from the calculation:
**Raw total energy**: -67.0 eV/cell
**Total moment**: 0.0 μB/f.u.
**Energy relative to the lowest polymorph listed for this composition**: 0 kJ/mol of formula units
**Symmetry**: Pbam (55)

# 2
# Ac3Mg5O12

Crystalline Ac3Mg5O12 at its relaxed geometry (GGA-PBE, Alexandria).

abc: 11.4372 11.4372 11.4372
angles: 109.47 109.47 109.47
Atoms (fractional coordinates):
Ac (0.1250, 0.2500, 0.3750)
Ac (0.1250, 0.3750, 0.7500)
Ac (0.2500, 0.3750, 0.1250)
Ac (0.2500, 0.8750, 0.6250)
Ac (0.3750, 0.1250, 0.2500)
Ac (0.3750, 0.7500, 0.1250)
Ac (0.6250, 0.2500, 0.8750)
Ac (0.6250, 0.8750, 0.7500)
Ac (0.7500, 0.1250, 0.3750)
Ac (0.7500, 0.6250, 0.8750)
Ac (0.8750, 0.6250, 0.2500)
Ac (0.8750, 0.7500, 0.6250)
Mg (0.0000, 0.0000, 0.0000)
Mg (0.0000, 0.0000, 0.5000)
Mg (0.0000, 0.5000, 0.0000)
Mg (0.0000, 0.5000, 0.5000)
Mg (0.1250, 0.7500, 0.8750)
Mg (0.1250, 0.8750, 0.2500)
Mg (0.2500, 0.1250, 0.8750)
Mg (0.2500, 0.6250, 0.3750)
Mg (0.3750, 0.2500, 0.6250)
Mg (0.3750, 0.6250, 0.7500)
Mg (0.5000, 0.0000, 0.0000)
Mg (0.5000, 0.0000, 0.5000)
Mg (0.5000, 0.5000, 0.0000)
Mg (0.5000, 0.5000, 0.5000)
Mg (0.6250, 0.3750, 0.2500)
Mg (0.6250, 0.7500, 0.3750)
Mg (0.7500, 0.3750, 0.6250)
Mg (0.7500, 0.8750, 0.1250)
Mg (0.8750, 0.1250, 0.7500)
Mg (0.8750, 0.2500, 0.1250)
O (0.0266, 0.2042, 0.1228)
O (0.0266, 0.3224, 0.9038)
O (0.0814, 0.7042, 0.6776)
O (0.0814, 0.8772, 0.4038)
O (0.0962, 0.6228, 0.4186)
O (0.0962, 0.9734, 0.6776)
O (0.1228, 0.0266, 0.2042)
O (0.1228, 0.5962, 0.9186)
O (0.1776, 0.2042, 0.5814)
O (0.1776, 0.4734, 0.5962)
O (0.2042, 0.1228, 0.0266)
O (0.2042, 0.5814, 0.1776)
O (0.2958, 0.3224, 0.9186)
O (0.2958, 0.4734, 0.3772)
O (0.3224, 0.9038, 0.0266)
O (0.3224, 0.9186, 0.2958)
O (0.3772, 0.2958, 0.4734)
O (0.3772, 0.5814, 0.9038)
O (0.4038, 0.0814, 0.8772)
O (0.4038, 0.8224, 0.5266)
O (0.4186, 0.0962, 0.6228)
O (0.4186, 0.8224, 0.7958)
O (0.4734, 0.3772, 0.2958)
O (0.4734, 0.5962, 0.1776)
O (0.5266, 0.4038, 0.8224)
O (0.5266, 0.6228, 0.7042)
O (0.5814, 0.1776, 0.2042)
O (0.5814, 0.9038, 0.3772)
O (0.5962, 0.1776, 0.4734)
O (0.5962, 0.9186, 0.1228)
O (0.6228, 0.4186, 0.0962)
O (0.6228, 0.7042, 0.5266)
O (0.6776, 0.0814, 0.7042)
O (0.6776, 0.0962, 0.9734)
O (0.7042, 0.5266, 0.6228)
O (0.7042, 0.6776, 0.0814)
O (0.7958, 0.4186, 0.8224)
O (0.7958, 0.8772, 0.9734)
O (0.8224, 0.5266, 0.4038)
O (0.8224, 0.7958, 0.4186)
O (0.8772, 0.4038, 0.0814)
O (0.8772, 0.9734, 0.7958)
O (0.9038, 0.0266, 0.3224)
O (0.9038, 0.3772, 0.5814)
O (0.9186, 0.1228, 0.5962)
O (0.9186, 0.2958, 0.3224)
O (0.9734, 0.6776, 0.0962)
O (0.9734, 0.7958, 0.8772)

Values from the calculation:
**Raw total energy**: -506.9 eV/cell
**Total moment**: 5.0 μB/f.u.
**E_form (uncorrected)**: -2.347 eV/atom
**Symmetry**: Ia-3d (230)